DFT (GGA-PBE) results for crystalline RbTa3Ge at its relaxed geometry.

## Properties
Theoretical density = 9.41 g/cm³
Symmetry = Pm-3m (221)
Energy above the most stable polymorph in this dataset = 0.0 kJ per mole of atoms
Energy relative to the elements = 1629 meV per atom

a b c (Å): 4.9817 4.9817 4.9817
angles (deg): 90.00 90.00 90.00
Last column: nearest neighbours and their distance in Å.
Sites, in units of the cell vectors:
Rb 0.0000 0.0000 0.0000  12 Ta 3.52
Ta 0.0000 0.5000 0.5000  2 Ge 2.49
Ta 0.5000 0.0000 0.5000  2 Ge 2.49
Ta 0.5000 0.5000 0.0000  2 Ge 2.49
Ge 0.5000 0.5000 0.5000  6 Ta 2.49


DFT (GGA-PBE) results for crystalline Co2AgIr at its relaxed geometry.

## Properties
Theoretical density = 12.76 g/cm³
Symmetry = Cm (8)
Energy relative to the elements = 300 meV per atom

a b c (Å): 4.7526 4.7526 4.5844
angles (deg): 103.76 103.76 32.82
Last column: nearest neighbours and their distance in Å.
Sites, in units of the cell vectors:
Co 0.0000 0.0000 0.0000  4 Co 2.48-2.69, 3 Ir 2.58-2.67, 4 Ag 2.66
Co 0.7210 0.7210 0.2661  4 Co 2.48-2.69, 4 Ir 2.58-2.77, 3 Ag 2.63-2.71
Ag 0.4823 0.4823 0.4912  7 Co 2.63-2.71, 2 Ag 2.69, 3 Ir 2.82-2.87
Ir 0.2536 0.2536 0.8067  7 Co 2.58-2.77, 2 Ir 2.69, 3 Ag 2.82-2.87


DFT (GGA-PBE) results for crystalline LiNd2GeSe5 at its relaxed geometry.

## Properties
Theoretical density = 5.77 g/cm³
Energy relative to the elements, uncorrected = -11.69 eV/f.u.
Symmetry = Cmc2_1 (36)

a b c (Å): 9.1024 9.1024 11.7541
angles (deg): 90.00 90.00 153.18
Last column: nearest neighbours and their distance in Å.
Sites, in units of the cell vectors:
Li 0.2145 0.7855 0.5000  3 Se 2.57-2.73
Li 0.7855 0.2145 0.0000  3 Se 2.57-2.73
Nd 0.1204 0.8796 0.1607  8 Se 3.04-3.23
Nd 0.1316 0.8684 0.7836  8 Se 2.98-3.26
Nd 0.8684 0.1316 0.2836  8 Se 2.98-3.26
Nd 0.8796 0.1204 0.6607  8 Se 3.04-3.23
Ge 0.4312 0.5688 0.9401  4 Se 2.48-2.49
Ge 0.5688 0.4312 0.4401  4 Se 2.48-2.49
Se 0.0448 0.9552 0.5450  2 Ge 2.48
Se 0.2917 0.7083 0.1472  2 Li 2.73, 3 Nd 2.98-3.04
Se 0.3132 0.6868 0.8262  1 Ge 2.48
Se 0.3590 0.6410 0.4773  1 Li 2.57
Se 0.5004 0.4996 0.2555  1 Ge 2.49
Se 0.4996 0.5004 0.7555  1 Ge 2.49
Se 0.6410 0.3590 0.9773  1 Li 2.57
Se 0.6868 0.3132 0.3262  1 Ge 2.48
Se 0.7083 0.2917 0.6472  2 Li 2.73, 3 Nd 2.98-3.04
Se 0.9552 0.0448 0.0450  2 Ge 2.48


DFT (GGA-PBE) results for crystalline AcTbSb2 at its relaxed geometry.

## Properties
Theoretical density = 8.48 g/cm³
Energy relative to the elements, uncorrected = -3.46 eV/f.u.
Symmetry = P4/mmm (123)
Energy above the most stable polymorph in this dataset = 28.7 kJ per mole of atoms

a b c (Å): 3.9254 3.9254 7.9949
angles (deg): 90.00 90.00 90.00
Last column: nearest neighbours and their distance in Å.
Sites, in units of the cell vectors:
Ac 0.0000 0.0000 0.0000  8 Sb 3.53, 4 Ac 3.93
Tb 0.0000 0.0000 0.5000  8 Sb 3.32
Sb 0.5000 0.5000 0.2726  4 Tb 3.32, 4 Ac 3.53, 1 Sb 3.64
Sb 0.5000 0.5000 0.7274  4 Tb 3.32, 4 Ac 3.53, 1 Sb 3.64


DFT (GGA-PBE) results for crystalline HfTiHRh2 at its relaxed geometry.

## Properties
Theoretical density = 10.86 g/cm³
Symmetry = P4/mmm (123)

a b c (Å): 4.0952 4.0952 3.9506
angles (deg): 90.00 90.00 90.00
Last column: nearest neighbours and their distance in Å.
Sites, in units of the cell vectors:
Hf 0.0000 0.0000 0.0000  8 Rh 2.85, 4 Ti 2.90
Ti 0.5000 0.5000 0.0000  2 H 1.98
H 0.5000 0.5000 0.5000  2 Ti 1.98, 4 Rh 2.05
Rh 0.0000 0.5000 0.5000  2 H 2.05
Rh 0.5000 0.0000 0.5000  2 H 2.05


DFT (GGA-PBE) results for crystalline AcTb2ReO8 at its relaxed geometry.

## Properties
Theoretical density = 7.68 g/cm³
Energy relative to the elements, uncorrected = -33.00 eV/f.u.
Symmetry = Cmmm (65)

a b c (Å): 5.1309 5.1309 7.0613
angles (deg): 90.00 90.00 91.30
Last column: nearest neighbours and their distance in Å.
Sites, in units of the cell vectors:
Ac 0.0000 0.0000 0.0000  6 O 2.37-2.53
Tb 0.5000 0.5000 0.2498  4 O 2.19-2.29
Tb 0.5000 0.5000 0.7502  4 O 2.19-2.29
Re 0.0000 0.0000 0.5000  6 O 1.90-1.91
O 0.1853 0.1853 0.3054  1 Re 1.91
O 0.1853 0.1853 0.6946  1 Re 1.91
O 0.2596 0.7404 0.5000  1 Re 1.90
O 0.3224 0.6776 0.0000  2 Tb 2.19, 1 Ac 2.37
O 0.6776 0.3224 0.0000  2 Tb 2.19, 1 Ac 2.37
O 0.7404 0.2596 0.5000  1 Re 1.90
O 0.8147 0.8147 0.3054  1 Re 1.91
O 0.8147 0.8147 0.6946  1 Re 1.91


DFT (GGA-PBE) results for crystalline CeTaNb2 at its relaxed geometry.

## Properties
Theoretical density = 10.42 g/cm³
Symmetry = P4/mmm (123)
Energy above the most stable polymorph in this dataset = 1.0 kJ per mole of atoms
Energy relative to the elements = 163 meV per atom

a b c (Å): 3.3513 3.3513 7.1934
angles (deg): 90.00 90.00 90.00
Last column: nearest neighbours and their distance in Å.
Sites, in units of the cell vectors:
Ce 0.0000 0.0000 0.0000  8 Nb 3.08, 4 Ce 3.35
Ta 0.0000 0.0000 0.5000  8 Nb 2.87
Nb 0.5000 0.5000 0.2744  4 Ta 2.87, 4 Ce 3.08
Nb 0.5000 0.5000 0.7256  4 Ta 2.87, 4 Ce 3.08


DFT (GGA-PBE) results for crystalline Cd2B2PdO6 at its relaxed geometry.

## Properties
Theoretical density = 5.72 g/cm³
Energy relative to the elements, uncorrected = -14.27 eV/f.u.
Symmetry = R-3m (166)

a b c (Å): 6.5306 6.5306 6.5306
angles (deg): 45.77 45.77 45.77
Last column: nearest neighbours and their distance in Å.
Sites, in units of the cell vectors:
Cd 0.2037 0.2037 0.2037  9 O 2.51-2.63
Cd 0.7963 0.7963 0.7963  9 O 2.51-2.63
B 0.4209 0.4209 0.4209  3 O 1.38
B 0.5791 0.5791 0.5791  3 O 1.38
Pd 0.0000 0.0000 0.0000  6 O 2.22
O 0.2615 0.7331 0.7331  1 B 1.38
O 0.2669 0.2669 0.7385  1 B 1.38
O 0.2669 0.7385 0.2669  1 B 1.38
O 0.7331 0.2615 0.7331  1 B 1.38
O 0.7331 0.7331 0.2615  1 B 1.38
O 0.7385 0.2669 0.2669  1 B 1.38


Final energy, respectively: -6.599 -6.181 -5.020 -5.110 -7.741 -8.207 -9.318 -5.855 eV/atom.